[1]
BeNiAsBr2 after structural relaxation. Source: Alexandria via LeMat-Bulk, functional PBE.

Cell lengths 4.949, 4.949, 4.617 Å; angles 90.00, 90.00, 90.00 degrees
Space group P4/mmm (No. 123)
Inequivalent atoms, fractional coordinates:
Be 0.000 0.000 0.000 x1
Ni 0.500 0.500 0.500 x1
As 0.500 0.500 0.000 x1
Br 0.000 0.500 0.500 x2

[2]
Mg4Si7 after structural relaxation. Source: Alexandria via LeMat-Bulk, functional PBE.

Cell lengths 3.954, 6.842, 14.844 Å; angles 88.82, 83.34, 89.21 degrees
Space group P1 (No. 1)
Inequivalent atoms, fractional coordinates:
Mg 0.000 0.000 0.000 x1
Mg 0.034 0.409 0.886 x1
Mg 0.224 0.598 0.553 x1
Mg 0.651 0.411 0.706 x1
Mg 0.690 0.911 0.629 x1
Mg 0.755 0.273 0.466 x1
Mg 0.809 0.794 0.391 x1
Mg 0.867 0.354 0.244 x1
Si 0.024 0.927 0.205 x1
Si 0.132 0.077 0.755 x1
Si 0.145 0.707 0.747 x1
Si 0.155 0.368 0.059 x1
Si 0.196 0.218 0.605 x1
Si 0.250 0.976 0.491 x1
Si 0.293 0.479 0.373 x1
Si 0.319 0.126 0.334 x1
Si 0.444 0.662 0.005 x1
Si 0.451 0.702 0.250 x1
Si 0.481 0.139 0.139 x1
Si 0.587 0.107 0.853 x1
Si 0.596 0.744 0.848 x1
Si 0.855 0.660 0.111 x1

Number 1: relative energy among the computed polymorphs 27.2 meV/atom, raw formation energy 0.675 eV per atom. Number 2: relative energy among the computed polymorphs 24.6 meV/atom, raw formation energy 0.121 eV per atom.